Ga2GePd4: relaxed, PBE.

Structure (extended XYZ):
```
7
Lattice="4.6317 0.0000 0.0000 0.0000 4.6317 0.0000 2.3158 2.3158 6.3691" Properties=species:S:1:pos:R:3 pbc="T T T"
Pd 0.0000 2.3158 0.0000
Ga 2.3158 2.3158 1.5048
Ga 4.6317 4.6317 4.8643
Pd 2.3158 2.3158 3.9257
Pd 2.3158 0.0000 0.0000
Pd 4.6317 4.6317 2.4435
Ge 0.0000 0.0000 0.0000
```

Space-group type: No. 139
Energy above the most stable polymorph in this dataset: 0.459 eV per atom

GaGe3Pd6: relaxed, PBE.

Structure (extended XYZ):
```
20
Lattice="3.5830 0.0000 0.0000 0.0000 9.7024 0.8226 0.0000 -2.4303 9.1716" Properties=species:S:1:pos:R:3 pbc="T T T"
Pd 2.6872 0.0449 4.1942
Ge 0.8957 1.9191 4.4011
Ge 0.8957 5.4142 9.6457
Pd 2.6872 9.0036 1.7886
Pd 2.6872 5.9381 7.9367
Ga 0.8957 8.4547 3.5679
Ge 0.8957 5.5302 1.7234
Pd 2.6872 3.7859 1.8969
Pd 0.8957 -1.7315 8.2056
Pd 0.8957 4.3751 4.1048
Ge 2.6872 1.7419 8.2708
Ga 2.6872 -1.1826 6.4263
Pd 0.8957 0.7326 6.6640
Ge 2.6872 5.3530 5.5931
Pd 2.6872 6.5395 3.3302
Pd 0.8957 3.4862 8.0973
Pd 2.6872 2.8970 5.8894
Pd 0.8957 1.3340 2.0575
Ge 2.6872 1.8579 0.3485
Pd 0.8957 7.2272 5.7999
```

Space-group type: No. 11
Final energy: -0.3875 Ry per atom

Ga2Ge2Pd: relaxed, PBE.

Structure (extended XYZ):
```
10
Lattice="6.7046 0.0000 0.0000 0.0000 6.7046 0.0000 0.0000 0.0000 4.0682" Properties=species:S:1:pos:R:3 pbc="T T T"
Pd 0.0000 0.0000 0.0000
Ge 2.2734 1.0789 2.0341
Ge 4.4312 5.6257 2.0341
Ga 5.7437 4.3131 0.0000
Ga 4.3131 0.9608 0.0000
Pd 3.3523 3.3523 0.0000
Ga 0.9608 2.3914 0.0000
Ga 2.3914 5.7437 0.0000
Ge 5.6257 2.2734 2.0341
Ge 1.0789 4.4312 2.0341
```

Space-group type: No. 127
Energy above the most stable polymorph in this dataset: 0.051 eV per atom

How do the records compare in size of the total moment? In the order shown, they have 0.00 0.00 0.00 μB/f.u..
How do the records compare in Fermi-level density of states? In the order shown, they have 0.739 0.264 0.419 states/eV/atom.